## CaEr2ScSe4 (PBE)

Data for a relaxed CaEr2ScSe4 crystal.

Computed properties:
- magnetic moment (μB/cell) = 0.000
- energy relative to the elements, uncorrected (kJ per mole of atoms) = -166.8
- calculated volume (A^3/atom) = 23.17

Structure (CIF):
```
data_CaEr2ScSe4
_chemical_formula_sum 'Ca1 Er2 Sc1 Se4'
_cell_length_a 6.987
_cell_length_b 4.020
_cell_length_c 6.988
_cell_angle_alpha 90.00
_cell_angle_beta 109.20
_cell_angle_gamma 90.00
_space_group_name_H-M_alt 'P 1'
_space_group_IT_number 1
_space_group_name_Hall 'P 1'
loop_
_atom_site_label
_atom_site_type_symbol
_atom_site_fract_x
_atom_site_fract_y
_atom_site_fract_z
_atom_site_occupancy
Ca1 Ca 0.000 0.000 0.000 1
Er1 Er 0.500 0.000 0.500 1
Er2 Er 0.500 0.500 0.000 1
Sc1 Sc 0.000 0.500 0.500 1
Se1 Se 0.244 0.000 0.742 1
Se2 Se 0.250 0.500 0.257 1
Se3 Se 0.750 0.500 0.743 1
Se4 Se 0.756 0.000 0.258 1
```